1.
# U3C

U3C after structural relaxation (PBE, the Alexandria database).

Properties
Energy of formation from the pure elements, eV/atom: 0.064
Space-group type: I4/mmm (139)
Size of the total moment, μB per formula unit: 0.00
D(E_F), states/eV/f.u.: 6.1

```
U3C
1.0
3.734 0.000 0.000
0.000 3.734 0.000
-1.867 -1.867 4.900
C U
1 3
Direct
0.000 0.000 0.000
0.500 0.500 0.000
0.231 0.231 0.462
0.769 0.769 0.538
```

***

2.
# PmNdSm2Dy

PmNdSm2Dy after structural relaxation (PBE, the Alexandria database).

Properties
Energy of formation from the pure elements, eV/atom: 0.269
Space-group type: P2/c (13)
Size of the total moment, μB per formula unit: 0.00
D(E_F), states/eV/f.u.: 6.7

```
PmNdSm2Dy
1.0
6.635 0.000 0.000
0.000 8.258 1.279
0.000 -1.222 6.145
Pm Nd Sm Dy
2 2 4 2
Direct
0.570 0.000 0.250
0.430 0.000 0.750
0.000 0.000 0.000
0.000 0.000 0.500
0.693 0.691 0.764
0.693 0.309 0.736
0.307 0.691 0.264
0.307 0.309 0.236
0.164 0.500 0.750
0.836 0.500 0.250
```

***

3.
# BaZr2Cd

BaZr2Cd after structural relaxation (PBE, the Alexandria database).

Properties
Energy of formation from the pure elements, eV/atom: 0.308
Space-group type: Cm (8)
Size of the total moment, μB per formula unit: 0.00
D(E_F), states/eV/f.u.: 4.6

```
BaZr2Cd
1.0
5.511 -0.007 0.000
4.532 3.135 0.000
0.886 0.276 6.830
Ba Cd Zr
1 1 2
Direct
0.508 0.508 0.489
0.262 0.262 0.199
0.998 0.998 0.976
0.732 0.732 0.835
```

***

4.
# Mn2AlHg

Mn2AlHg after structural relaxation (PBE, the Alexandria database).

Properties
Energy of formation from the pure elements, eV/atom: 0.248
Space-group type: R3m (160)
Size of the total moment, μB per formula unit: 0.99
D(E_F), states/eV/f.u.: 2.7

```
Mn2AlHg
1.0
8.869 -0.060 -0.035
8.403 2.838 -0.035
8.403 1.352 2.495
Mn Hg Al
2 1 1
Direct
0.989 0.989 0.989
0.253 0.253 0.253
0.747 0.747 0.747
0.511 0.511 0.511
```

***

5.
# SbCSe3

SbCSe3 after structural relaxation (PBE, the Alexandria database).

Properties
Raw formation energy, meV/atom: 1956
Space-group type: Pm-3m (221)
Size of the total moment, μB per formula unit: 0.00
D(E_F), states/eV/f.u.: 6.5

```
SbCSe3
1.0
5.291 0.000 0.000
0.000 5.291 0.000
0.000 0.000 5.291
Sb C Se
1 1 3
Direct
0.000 0.000 0.000
0.500 0.500 0.500
0.000 0.500 0.000
0.000 0.000 0.500
0.500 0.000 0.000
```

***

6.
# Tl4BiPb4

Tl4BiPb4 after structural relaxation (PBE, the Alexandria database).

Properties
Energy of formation from the pure elements, eV/atom: -0.012
Space-group type: I4/mmm (139)
Size of the total moment, μB per formula unit: 0.00
D(E_F), states/eV/f.u.: 4.6

```
Tl4BiPb4
1.0
4.832 0.000 1.459
2.416 7.525 0.729
0.241 0.000 7.933
Tl Bi Pb
4 1 4
Direct
0.500 0.170 0.331
0.500 0.830 0.669
0.169 0.831 0.330
0.831 0.169 0.670
0.500 0.500 0.000
0.163 0.174 0.000
0.837 0.826 0.000
0.837 0.500 0.326
0.163 0.500 0.674
```

***

7.
# PmY6Ho2Sc

PmY6Ho2Sc after structural relaxation (PBE, the Alexandria database).

Properties
Energy of formation from the pure elements, eV/atom: 0.120
Space-group type: C2/c (15)
Size of the total moment, μB per formula unit: 0.00
D(E_F), states/eV/f.u.: 13.9

```
PmY6Ho2Sc
1.0
1.330 6.574 5.608
-4.637 5.509 -5.626
-4.565 -4.723 6.352
Pm Y Ho Sc
2 12 4 2
Direct
0.250 0.967 0.033
0.750 0.033 0.967
0.052 0.131 0.792
0.448 0.208 0.869
0.948 0.869 0.208
0.552 0.792 0.131
0.294 0.047 0.460
0.206 0.540 0.953
0.706 0.953 0.540
0.794 0.460 0.047
0.091 0.734 0.474
0.409 0.526 0.266
0.909 0.266 0.526
0.591 0.474 0.734
0.443 0.789 0.679
0.057 0.321 0.211
0.557 0.211 0.321
0.943 0.679 0.789
0.250 0.444 0.556
0.750 0.556 0.444
```

***

8.
# Ca2ScHg2

Ca2ScHg2 after structural relaxation (PBE, the Alexandria database).

Properties
Energy of formation from the pure elements, eV/atom: -0.330
Space-group type: P4/mbm (127)
Size of the total moment, μB per formula unit: 0.17
D(E_F), states/eV/f.u.: 6.0

```
Ca2ScHg2
1.0
-3.257 6.081 -4.262
-7.072 -1.120 3.807
1.192 2.760 3.026
Sc Ca Hg
2 4 4
Direct
0.000 0.000 0.000
0.500 0.500 0.000
0.162 0.662 0.500
0.662 0.838 0.500
0.838 0.338 0.500
0.338 0.162 0.500
0.357 0.857 0.000
0.857 0.643 0.000
0.643 0.143 0.000
0.143 0.357 0.000
```

***

9.
# Np3As4Ru4

Np3As4Ru4 after structural relaxation (PBE, the Alexandria database).

Properties
Energy of formation from the pure elements, eV/atom: -0.443
Space-group type: Immm (71)
Size of the total moment, μB per formula unit: 9.39
D(E_F), states/eV/f.u.: 24.1

```
Np3As4Ru4
1.0
-1.274 -0.501 3.846
5.520 -4.181 1.283
1.557 7.791 -0.635
Np As Ru
3 4 4
Direct
0.124 0.124 0.248
0.876 0.876 0.752
0.000 0.500 0.000
0.213 0.713 0.426
0.787 0.287 0.574
0.500 0.790 0.000
0.500 0.210 0.000
0.323 0.116 0.646
0.677 0.471 0.354
0.677 0.884 0.354
0.323 0.529 0.646
```

***

10.
# Ba8AsRh2

Ba8AsRh2 after structural relaxation (PBE, the Alexandria database).

Properties
Energy of formation from the pure elements, eV/atom: -0.168
Space-group type: C2/m (12)
Size of the total moment, μB per formula unit: 0.00
D(E_F), states/eV/f.u.: 9.1

```
Ba8AsRh2
1.0
-7.798 -0.378 0.452
-0.274 -4.422 -8.165
0.716 -4.855 7.888
Ba As Rh
8 1 2
Direct
0.276 0.667 0.333
0.724 0.333 0.667
0.761 0.834 0.166
0.239 0.167 0.332
0.239 0.668 0.833
0.239 0.166 0.834
0.761 0.833 0.668
0.761 0.332 0.167
0.000 0.000 0.000
0.087 0.333 0.666
0.913 0.667 0.334
```

***

11.
# MgFeOs

MgFeOs after structural relaxation (PBE, the Alexandria database).

Properties
Energy of formation from the pure elements, eV/atom: 0.498
Space-group type: F-43m (216)
Size of the total moment, μB per formula unit: 0.00
D(E_F), states/eV/f.u.: 1.8

```
MgFeOs
1.0
-2.606 -3.061 0.077
-0.031 -2.536 3.120
-3.073 0.041 2.593
Mg Os Fe
1 1 1
Direct
0.750 0.750 0.750
0.250 0.250 0.250
0.000 0.000 0.000
```

***

12.
# Zr2IrPb

Zr2IrPb after structural relaxation (PBE, the Alexandria database).

Properties
Energy of formation from the pure elements, eV/atom: -0.289
Space-group type: I-4m2 (119)
Size of the total moment, μB per formula unit: 0.00
D(E_F), states/eV/f.u.: 2.8

```
Zr2IrPb
1.0
5.765 -0.007 0.000
2.896 4.985 0.000
-4.331 -2.489 2.879
Ir Pb Zr
1 1 2
Direct
0.500 0.500 0.000
0.750 0.250 0.500
0.000 0.000 0.000
0.250 0.750 0.500
```

***

13.
# Na3ThSe4O12

Na3ThSe4O12 after structural relaxation (PBE, the Alexandria database).

Properties
Raw formation energy, meV/atom: -1175
Space-group type: R32 (155)
Size of the total moment, μB per formula unit: 0.00
D(E_F), states/eV/f.u.: 4.9

```
Na3ThSe4O12
1.0
7.100 -0.145 -0.202
-1.852 6.856 -0.202
-1.852 -2.367 6.437
Na Th Se O
3 1 4 12
Direct
0.573 0.427 0.000
0.427 0.000 0.573
0.000 0.573 0.427
0.000 0.000 0.000
0.907 0.093 0.500
0.093 0.500 0.907
0.500 0.907 0.093
0.500 0.500 0.500
0.500 0.356 0.644
0.945 0.500 0.055
0.055 0.945 0.500
0.500 0.055 0.945
0.321 0.002 0.213
0.213 0.321 0.002
0.002 0.213 0.321
0.679 0.787 0.998
0.998 0.679 0.787
0.787 0.998 0.679
0.644 0.500 0.356
0.356 0.644 0.500
```

***

14.
# CuBiPd14

CuBiPd14 after structural relaxation (PBE, the Alexandria database).

Properties
Energy of formation from the pure elements, eV/atom: -0.056
Space-group type: Amm2 (38)
Size of the total moment, μB per formula unit: 0.00
D(E_F), states/eV/f.u.: 28.2

```
CuBiPd14
1.0
5.596 -0.293 0.000
-2.462 5.033 0.000
0.000 0.000 9.227
Cu Bi Pd
1 1 14
Direct
0.047 0.953 0.500
0.548 0.452 0.500
0.202 0.798 0.000
0.704 0.296 0.000
0.050 0.453 0.500
0.202 0.295 0.000
0.547 0.950 0.500
0.705 0.798 0.000
0.371 0.122 0.749
0.371 0.122 0.251
0.878 0.629 0.749
0.878 0.629 0.251
0.373 0.627 0.755
0.373 0.627 0.245
0.876 0.124 0.748
0.876 0.124 0.252
```

***

15.
# TlWSeN2

TlWSeN2 after structural relaxation (PBE, the Alexandria database).

Properties
Raw formation energy, meV/atom: 281
Space-group type: P4/mmm (123)
Size of the total moment, μB per formula unit: 0.00
D(E_F), states/eV/f.u.: 2.5

```
TlWSeN2
1.0
-1.130 -2.697 2.743
0.962 -2.966 -2.521
4.928 -0.069 1.962
Tl Se W N
1 1 1 2
Direct
0.500 0.500 0.500
0.000 0.000 0.500
0.000 0.000 0.000
0.000 0.500 0.000
0.500 0.000 0.000
```

***

16.
# ZrBPCl2

ZrBPCl2 after structural relaxation (PBE, the Alexandria database).

Properties
Raw formation energy, meV/atom: 304
Space-group type: P4/mmm (123)
Size of the total moment, μB per formula unit: 0.34
D(E_F), states/eV/f.u.: 2.7

```
ZrBPCl2
1.0
-3.027 2.309 1.689
-1.915 -3.462 1.300
2.390 0.189 4.024
P B Zr Cl
1 1 1 2
Direct
0.000 0.000 0.500
0.000 0.000 0.000
0.500 0.500 0.500
0.000 0.500 0.000
0.500 0.000 0.000
```

***

17.
# Na3Pm2Hg4

Na3Pm2Hg4 after structural relaxation (PBE, the Alexandria database).

Properties
Energy of formation from the pure elements, eV/atom: -0.288
Space-group type: C2/m (12)
Size of the total moment, μB per formula unit: 0.00
D(E_F), states/eV/f.u.: 4.7

```
Na3Pm2Hg4
1.0
-3.196 3.526 2.158
-3.243 -1.423 3.849
7.194 2.262 6.957
Na Pm Hg
3 2 4
Direct
0.335 0.330 0.428
0.000 0.000 0.000
0.665 0.670 0.572
0.332 0.335 0.799
0.668 0.665 0.201
0.666 0.668 0.894
0.002 0.997 0.326
0.998 0.003 0.674
0.334 0.332 0.106
```

***

18.
# SiNiAg2

SiNiAg2 after structural relaxation (PBE, the Alexandria database).

Properties
Raw formation energy, meV/atom: 330
Space-group type: P4/mmm (123)
Size of the total moment, μB per formula unit: 0.00
D(E_F), states/eV/f.u.: 2.8

```
SiNiAg2
1.0
-1.441 -2.287 0.519
2.345 -1.394 0.366
-0.124 1.897 8.012
Ag Ni Si
2 1 1
Direct
0.000 0.000 0.017
0.000 0.000 0.483
0.500 0.500 0.250
0.500 0.500 0.750
```

***

19.
# Zr2Cd2Hg5

Zr2Cd2Hg5 after structural relaxation (PBE, the Alexandria database).

Properties
Energy of formation from the pure elements, eV/atom: 0.145
Space-group type: Cmce (64)
Size of the total moment, μB per formula unit: 0.00
D(E_F), states/eV/f.u.: 6.7

```
Zr2Cd2Hg5
1.0
-5.967 -4.438 -0.404
3.451 -5.029 4.277
-4.637 5.858 4.144
Zr Cd Hg
4 4 10
Direct
0.000 0.221 0.442
0.500 0.721 0.442
0.000 0.779 0.558
0.500 0.279 0.558
0.631 0.870 0.000
0.369 0.130 0.000
0.131 0.630 0.000
0.869 0.370 0.000
0.000 0.000 0.000
0.500 0.500 0.000
0.820 0.823 0.275
0.180 0.452 0.275
0.320 0.952 0.275
0.680 0.323 0.275
0.180 0.177 0.725
0.820 0.548 0.725
0.680 0.048 0.725
0.320 0.677 0.725
```

***

20.
# Ce2PuSe4

Ce2PuSe4 after structural relaxation (PBE, the Alexandria database).

Properties
Raw formation energy, meV/atom: -1680
Space-group type: Cmcm (63)
Size of the total moment, μB per formula unit: 7.69
D(E_F), states/eV/f.u.: 24.7

```
Ce2PuSe4
1.0
4.123 0.000 0.000
-2.062 6.939 0.000
0.000 0.000 13.915
Ce Pu Se
4 2 8
Direct
0.133 0.266 0.431
0.867 0.734 0.931
0.133 0.266 0.069
0.867 0.734 0.569
0.620 0.240 0.750
0.380 0.760 0.250
0.776 0.551 0.125
0.776 0.551 0.375
0.224 0.449 0.875
0.224 0.449 0.625
0.970 0.940 0.750
0.030 0.060 0.250
0.500 0.000 0.000
0.500 0.000 0.500
```

***

21.
# Sm2Y6Er3Mg

Sm2Y6Er3Mg after structural relaxation (PBE, the Alexandria database).

Properties
Energy of formation from the pure elements, eV/atom: 0.028
Space-group type: C2/m (12)
Size of the total moment, μB per formula unit: 0.00
D(E_F), states/eV/f.u.: 18.6

```
Sm2Y6Er3Mg
1.0
6.137 -0.003 -0.001
-3.069 5.314 -0.001
-1.027 -1.779 11.559
Sm Y Er Mg
2 6 3 1
Direct
0.334 0.666 0.000
0.666 0.334 0.000
0.917 0.585 0.749
0.751 0.751 0.252
0.083 0.415 0.251
0.585 0.917 0.749
0.249 0.249 0.748
0.415 0.083 0.251
0.165 0.835 0.500
0.835 0.165 0.500
0.500 0.500 0.500
0.000 0.000 0.000
```

***

22.
# Tb2SmScBi5

Tb2SmScBi5 after structural relaxation (PBE, the Alexandria database).

Properties
Energy of formation from the pure elements, eV/atom: 0.112
Space-group type: P4/mmm (123)
Size of the total moment, μB per formula unit: 0.00
D(E_F), states/eV/f.u.: 6.5

```
Tb2SmScBi5
1.0
-1.918 -1.001 -5.113
-1.966 -4.907 1.698
-10.014 4.975 2.783
Tb Sm Sc Bi
2 1 1 5
Direct
0.500 0.500 0.277
0.500 0.500 0.723
0.000 0.000 0.500
0.000 0.000 0.000
0.000 0.500 0.500
0.500 0.000 0.500
0.000 0.000 0.763
0.000 0.000 0.237
0.500 0.500 0.000
```

***

23.
# Ac3Cd2Sn

Ac3Cd2Sn after structural relaxation (PBE, the Alexandria database).

Properties
Energy of formation from the pure elements, eV/atom: -0.398
Space-group type: P4/mmm (123)
Size of the total moment, μB per formula unit: 0.00
D(E_F), states/eV/f.u.: 6.6

```
Ac3Cd2Sn
1.0
-3.492 0.821 -1.854
1.236 -2.065 -3.242
-4.993 -10.469 4.765
Ac Cd Sn
3 2 1
Direct
0.000 0.000 0.000
0.000 0.000 0.668
0.000 0.000 0.332
0.500 0.500 0.839
0.500 0.500 0.161
0.500 0.500 0.500
```